Record 1
First-principles (GGA-PBE) data for a relaxed La3ZnPd6 crystal, as listed in Alexandria.

a = 6.678 Å, b = 6.678 Å, c = 6.678 Å
α = 111.27°, β = 111.27°, γ = 111.27°
Atoms (fractional coordinates):
La: 0.000 0.500 0.500
La: 0.500 0.000 0.500
La: 0.500 0.500 0.000
Zn: 0.501 0.501 0.501
Pd: 0.089 0.089 0.370
Pd: 0.089 0.370 0.089
Pd: 0.370 0.089 0.089
Pd: 0.629 0.911 0.911
Pd: 0.911 0.629 0.911
Pd: 0.911 0.911 0.629

Output
E_form ... -0.708 eV/atom



Record 2
First-principles (GGA-PBE) data for a relaxed La3Zn2Pd4 crystal, as listed in Alexandria.

a = 5.597 Å, b = 5.597 Å, c = 8.925 Å
α = 96.49°, β = 96.49°, γ = 46.66°
Atoms (fractional coordinates):
La: 0.000 0.000 0.000
La: 0.377 0.377 0.619
La: 0.623 0.623 0.381
Zn: 0.319 0.319 0.215
Zn: 0.681 0.681 0.785
Pd: 0.086 0.086 0.639
Pd: 0.282 0.282 0.912
Pd: 0.718 0.718 0.088
Pd: 0.914 0.914 0.361

Output
E_form ... -0.731 eV/atom
Offset from the most stable computed form ... 0.0177 eV per atom



Question: The highest E_form belongs to which entry?
Answer: La3ZnPd6



Question: Among the records above, which one has the highest E_form?
Answer: La3ZnPd6